A | Compound: La2ZnAgH
Source: Alexandria
Functional: GGA-PBE
Structure: optimized geometry

Unit cell a=5.166 b=5.166 c=4.108 alpha=90.00 beta=90.00 gamma=90.00
Fractional positions:
1 La 0.000 0.500 0.000
2 La 0.500 0.000 0.000
3 Zn 0.000 0.000 0.500
4 Ag 0.500 0.500 0.500
5 H 0.000 0.000 0.000

Results
Its space group is No. 123. The calculation puts the total magnetization at 0.056 μB per formula unit.

B | Compound: La2ZnAgH
Source: Alexandria
Functional: GGA-PBE
Structure: optimized geometry

Unit cell a=5.150 b=5.150 c=4.164 alpha=90.00 beta=90.00 gamma=90.00
Fractional positions:
1 La 0.000 0.500 0.000
2 La 0.500 0.000 0.000
3 Zn 0.000 0.000 0.500
4 Ag 0.500 0.500 0.500
5 H 0.500 0.500 0.000

Results
Its space group is No. 123. The calculation puts the total magnetization at 0.305 μB per formula unit.

Most stable = B

A | Compound: Li2AgH
Source: Alexandria
Functional: GGA-PBE
Structure: optimized geometry

Unit cell a=7.178 b=7.178 c=7.178 alpha=23.01 beta=23.01 gamma=23.01
Fractional positions:
1 Li 0.000 0.000 0.000
2 Li 0.221 0.221 0.221
3 Ag 0.444 0.444 0.444
4 H 0.610 0.610 0.610

Results
Its space group is No. 160. The calculation puts the total magnetization at 0.000 μB per formula unit.

B | Compound: Li2AgH
Source: Alexandria
Functional: GGA-PBE
Structure: optimized geometry

Unit cell a=5.273 b=5.273 c=5.273 alpha=115.65 beta=115.65 gamma=97.71
Fractional positions:
1 Li 0.375 0.231 0.356
2 Li 0.769 0.125 0.144
3 Li 0.875 0.019 0.644
4 Li 0.981 0.625 0.856
5 Ag 0.250 0.750 0.500
6 Ag 0.500 0.500 0.000
7 H 0.000 0.000 0.000
8 H 0.750 0.250 0.500

Results
Its space group is No. 122. The calculation puts the total magnetization at 0.000 μB per formula unit.

Most stable = A

A | Compound: Li2AgH
Source: Alexandria
Functional: GGA-PBE
Structure: optimized geometry

Unit cell a=7.597 b=7.597 c=7.597 alpha=21.54 beta=21.54 gamma=21.54
Fractional positions:
1 Li 0.114 0.114 0.114
2 Li 0.886 0.886 0.886
3 Ag 0.000 0.000 0.000
4 H 0.500 0.500 0.500

Results
Its space group is No. 166. The calculation puts the total magnetization at 0.000 μB per formula unit.

B | Compound: Li2AgH
Source: Alexandria
Functional: GGA-PBE
Structure: optimized geometry

Unit cell a=4.337 b=4.337 c=4.337 alpha=60.00 beta=60.00 gamma=60.00
Fractional positions:
1 Li 0.250 0.250 0.250
2 Li 0.750 0.750 0.750
3 Ag 0.000 0.000 0.000
4 H 0.500 0.500 0.500

Results
Its space group is No. 225. The calculation puts the total magnetization at 0.000 μB per formula unit.

C | Compound: Li2AgH
Source: Alexandria
Functional: GGA-PBE
Structure: optimized geometry

Unit cell a=2.735 b=2.735 c=6.746 alpha=90.00 beta=90.00 gamma=90.00
Fractional positions:
1 Li 0.000 0.000 0.186
2 Li 0.000 0.000 0.814
3 Ag 0.500 0.500 0.500
4 H 0.500 0.500 0.000

Results
Its space group is No. 123. The calculation puts the total magnetization at 0.000 μB per formula unit.

Most stable = A

A | Compound: Li3AgH
Source: Alexandria
Functional: GGA-PBE
Structure: optimized geometry

Unit cell a=4.967 b=4.967 c=4.967 alpha=90.00 beta=90.00 gamma=90.00
Fractional positions:
1 Li 0.000 0.000 0.500
2 Li 0.000 0.500 0.000
3 Li 0.500 0.000 0.000
4 Ag 0.000 0.000 0.000
5 H 0.500 0.500 0.500

Results
Its space group is No. 221. The calculation puts the total magnetization at 0.000 μB per formula unit.

B | Compound: Li3AgH
Source: Alexandria
Functional: GGA-PBE
Structure: optimized geometry

Unit cell a=4.022 b=4.022 c=4.022 alpha=90.00 beta=90.00 gamma=90.00
Fractional positions:
1 Li 0.000 0.000 0.500
2 Li 0.000 0.500 0.000
3 Li 0.500 0.000 0.000
4 Ag 0.500 0.500 0.500
5 H 0.000 0.000 0.000

Results
Its space group is No. 221. The calculation puts the total magnetization at 0.000 μB per formula unit.

C | Compound: Li3AgH
Source: Alexandria
Functional: GGA-PBE
Structure: optimized geometry

Unit cell a=2.915 b=4.744 c=9.600 alpha=88.94 beta=81.77 gamma=89.94
Fractional positions:
1 Li 0.000 0.000 0.000
2 Li 0.107 0.434 0.786
3 Li 0.248 0.794 0.513
4 Li 0.361 0.144 0.268
5 Li 0.747 0.288 0.518
6 Li 0.860 0.637 0.273
7 Ag 0.483 0.506 0.034
8 Ag 0.623 0.928 0.752
9 H 0.301 0.462 0.399
10 H 0.805 0.969 0.386

Results
Its space group is No. 1. The calculation puts the total magnetization at 0.000 μB per formula unit.

Most stable = C

A | Compound: LiAgH3
Source: Alexandria
Functional: GGA-PBE
Structure: optimized geometry

Unit cell a=3.655 b=3.655 c=3.655 alpha=90.00 beta=90.00 gamma=90.00
Fractional positions:
1 Li 0.000 0.000 0.000
2 Ag 0.500 0.500 0.500
3 H 0.000 0.500 0.500
4 H 0.500 0.000 0.500
5 H 0.500 0.500 0.000

Results
Its space group is No. 221. The calculation puts the total magnetization at 0.000 μB per formula unit.

B | Compound: LiAgH3
Source: Alexandria
Functional: GGA-PBE
Structure: optimized geometry

Unit cell a=3.464 b=3.464 c=3.464 alpha=90.00 beta=90.00 gamma=90.00
Fractional positions:
1 Li 0.000 0.000 0.000
2 Ag 0.500 0.500 0.500
3 H 0.000 0.000 0.500
4 H 0.000 0.500 0.000
5 H 0.500 0.000 0.000

Results
Its space group is No. 221. The calculation puts the total magnetization at 0.903 μB per formula unit.

Most stable = A

A | Compound: LiAg2H
Source: Alexandria
Functional: GGA-PBE
Structure: optimized geometry

Unit cell a=5.357 b=5.357 c=5.357 alpha=102.50 beta=102.50 gamma=124.56
Fractional positions:
1 Li 0.000 0.000 0.000
2 Li 0.750 0.250 0.500
3 Ag 0.238 0.125 0.613
4 Ag 0.375 0.762 0.887
5 Ag 0.512 0.625 0.387
6 Ag 0.875 0.488 0.113
7 H 0.250 0.750 0.500
8 H 0.500 0.500 0.000

Results
Its space group is No. 122. The calculation puts the total magnetization at 0.000 μB per formula unit.

B | Compound: LiAg2H
Source: Alexandria
Functional: GGA-PBE
Structure: optimized geometry

Unit cell a=8.008 b=8.008 c=8.008 alpha=20.93 beta=20.93 gamma=20.93
Fractional positions:
1 Li 0.000 0.000 0.000
2 Ag 0.108 0.108 0.108
3 Ag 0.892 0.892 0.892
4 H 0.500 0.500 0.500

Results
Its space group is No. 166. The calculation puts the total magnetization at 0.000 μB per formula unit.

Most stable = A

A | Compound: LiAg2H2
Source: Alexandria
Functional: GGA-PBE
Structure: optimized geometry

Unit cell a=5.349 b=5.349 c=5.349 alpha=141.62 beta=141.62 gamma=55.40
Fractional positions:
1 Li 0.000 0.000 0.000
2 Ag 0.349 0.349 0.000
3 Ag 0.651 0.651 0.000
4 H 0.250 0.750 0.500
5 H 0.750 0.250 0.500

Results
Its space group is No. 139. The calculation puts the total magnetization at 0.000 μB per formula unit.

B | Compound: LiAg2H2
Source: Alexandria
Functional: GGA-PBE
Structure: optimized geometry

Unit cell a=5.723 b=5.723 c=3.736 alpha=90.00 beta=90.00 gamma=90.00
Fractional positions:
1 Li 0.000 0.000 0.000
2 Li 0.500 0.500 0.000
3 Ag 0.182 0.318 0.500
4 Ag 0.318 0.818 0.500
5 Ag 0.682 0.182 0.500
6 Ag 0.818 0.682 0.500
7 H 0.190 0.310 0.000
8 H 0.310 0.810 0.000
9 H 0.690 0.190 0.000
10 H 0.810 0.690 0.000

Results
Its space group is No. 127. The calculation puts the total magnetization at 0.000 μB per formula unit.

Most stable = B

A | Compound: Li2MgAgH
Source: Alexandria
Functional: GGA-PBE
Structure: optimized geometry

Unit cell a=4.069 b=4.069 c=4.309 alpha=90.00 beta=90.00 gamma=90.00
Fractional positions:
1 Li 0.000 0.500 0.000
2 Li 0.500 0.000 0.000
3 Mg 0.000 0.000 0.500
4 Ag 0.500 0.500 0.500
5 H 0.500 0.500 0.000

Results
Its space group is No. 123. The calculation puts the total magnetization at 0.000 μB per formula unit.

B | Compound: Li2MgAgH
Source: Alexandria
Functional: GGA-PBE
Structure: optimized geometry

Unit cell a=4.019 b=4.019 c=4.346 alpha=90.00 beta=90.00 gamma=90.00
Fractional positions:
1 Li 0.000 0.500 0.000
2 Li 0.500 0.000 0.000
3 Mg 0.000 0.000 0.500
4 Ag 0.500 0.500 0.500
5 H 0.000 0.000 0.000

Results
Its space group is No. 123. The calculation puts the total magnetization at 0.000 μB per formula unit.

Most stable = B

A | Compound: LiNi2AgH
Source: Alexandria
Functional: GGA-PBE
Structure: optimized geometry

Unit cell a=3.590 b=3.590 c=4.194 alpha=90.00 beta=90.00 gamma=90.00
Fractional positions:
1 Li 0.000 0.000 0.000
2 Ni 0.000 0.500 0.500
3 Ni 0.500 0.000 0.500
4 Ag 0.500 0.500 0.000
5 H 0.500 0.500 0.500

Results
Its space group is No. 123. The calculation puts the total magnetization at 0.000 μB per formula unit.

B | Compound: LiNi2AgH
Source: Alexandria
Functional: GGA-PBE
Structure: optimized geometry

Unit cell a=3.604 b=3.604 c=4.068 alpha=90.00 beta=90.00 gamma=90.00
Fractional positions:
1 Li 0.000 0.000 0.000
2 Ni 0.000 0.500 0.500
3 Ni 0.500 0.000 0.500
4 Ag 0.500 0.500 0.000
5 H 0.000 0.000 0.500

Results
Its space group is No. 123. The calculation puts the total magnetization at 0.000 μB per formula unit.

Most stable = B

A | Compound: Li2AgHPb
Source: Alexandria
Functional: GGA-PBE
Structure: optimized geometry

Unit cell a=4.435 b=4.435 c=3.910 alpha=90.00 beta=90.00 gamma=90.00
Fractional positions:
1 Li 0.000 0.500 0.000
2 Li 0.500 0.000 0.000
3 Ag 0.000 0.000 0.500
4 H 0.000 0.000 0.000
5 Pb 0.500 0.500 0.500

Results
Its space group is No. 123. The calculation puts the total magnetization at 0.000 μB per formula unit.

B | Compound: Li2AgHPb
Source: Alexandria
Functional: GGA-PBE
Structure: optimized geometry

Unit cell a=4.204 b=4.204 c=4.665 alpha=90.00 beta=90.00 gamma=90.00
Fractional positions:
1 Li 0.000 0.500 0.000
2 Li 0.500 0.000 0.000
3 Ag 0.000 0.000 0.500
4 H 0.500 0.500 0.000
5 Pb 0.500 0.500 0.500

Results
Its space group is No. 123. The calculation puts the total magnetization at 0.000 μB per formula unit.

Most stable = A

A | Compound: LiAg2HPd
Source: Alexandria
Functional: GGA-PBE
Structure: optimized geometry

Unit cell a=4.287 b=4.287 c=3.725 alpha=90.00 beta=90.00 gamma=90.00
Fractional positions:
1 Li 0.000 0.000 0.000
2 Ag 0.000 0.500 0.500
3 Ag 0.500 0.000 0.500
4 H 0.500 0.500 0.500
5 Pd 0.500 0.500 0.000

Results
Its space group is No. 123. The calculation puts the total magnetization at 0.000 μB per formula unit.

B | Compound: LiAg2HPd
Source: Alexandria
Functional: GGA-PBE
Structure: optimized geometry

Unit cell a=4.041 b=4.041 c=4.121 alpha=90.00 beta=90.00 gamma=90.00
Fractional positions:
1 Li 0.000 0.000 0.000
2 Ag 0.000 0.500 0.500
3 Ag 0.500 0.000 0.500
4 H 0.000 0.000 0.500
5 Pd 0.500 0.500 0.000

Results
Its space group is No. 123. The calculation puts the total magnetization at 0.000 μB per formula unit.

Most stable = A

A | Compound: LiAgHPt2
Source: Alexandria
Functional: GGA-PBE
Structure: optimized geometry

Unit cell a=3.912 b=3.912 c=4.304 alpha=90.00 beta=90.00 gamma=90.00
Fractional positions:
1 Li 0.000 0.000 0.000
2 Ag 0.500 0.500 0.000
3 H 0.500 0.500 0.500
4 Pt 0.000 0.500 0.500
5 Pt 0.500 0.000 0.500

Results
Its space group is No. 123. The calculation puts the total magnetization at 0.000 μB per formula unit.

B | Compound: LiAgHPt2
Source: Alexandria
Functional: GGA-PBE
Structure: optimized geometry

Unit cell a=3.928 b=3.928 c=4.168 alpha=90.00 beta=90.00 gamma=90.00
Fractional positions:
1 Li 0.000 0.000 0.000
2 Ag 0.500 0.500 0.000
3 H 0.000 0.000 0.500
4 Pt 0.000 0.500 0.500
5 Pt 0.500 0.000 0.500

Results
Its space group is No. 123. The calculation puts the total magnetization at 0.000 μB per formula unit.

Most stable = B

A | Compound: LiY2AgH
Source: Alexandria
Functional: GGA-PBE
Structure: optimized geometry

Unit cell a=4.900 b=4.900 c=4.126 alpha=90.00 beta=90.00 gamma=90.00
Fractional positions:
1 Li 0.000 0.000 0.000
2 Y 0.000 0.500 0.500
3 Y 0.500 0.000 0.500
4 Ag 0.500 0.500 0.000
5 H 0.500 0.500 0.500

Results
Its space group is No. 123. The calculation puts the total magnetization at 0.185 μB per formula unit.

B | Compound: LiY2AgH
Source: Alexandria
Functional: GGA-PBE
Structure: optimized geometry

Unit cell a=4.989 b=4.989 c=3.841 alpha=90.00 beta=90.00 gamma=90.00
Fractional positions:
1 Li 0.000 0.000 0.000
2 Y 0.000 0.500 0.500
3 Y 0.500 0.000 0.500
4 Ag 0.500 0.500 0.000
5 H 0.000 0.000 0.500

Results
Its space group is No. 123. The calculation puts the total magnetization at 0.258 μB per formula unit.

Most stable = B